No. 1
Below is a geometry-optimized LuNiPb structure, with properties calculated at the PBEsol level. Values from VASP.

Quantum ESPRESSO input file:
```
&SYSTEM
  ibrav = 0, nat = 9, ntyp = 3
/
ATOMIC_SPECIES
Pb 207.20 Pb.upf
Ni 58.69 Ni.upf
Lu 174.97 Lu.upf
ATOMIC_POSITIONS angstrom
Pb -0.041 0.511 1.888
Pb -4.680 0.094 2.663
Pb -1.659 -0.477 -0.921
Ni -0.240 1.771 -0.485
Ni -2.178 0.682 3.572
Ni -4.202 -0.554 0.059
Lu -3.967 0.700 -2.552
Lu -0.332 2.919 3.756
Lu -2.802 1.822 0.973
CELL_PARAMETERS angstrom
-0.480 3.542 -0.969
-6.227 -1.790 -3.454
-0.153 1.918 7.085
```

Calculated values
formation energy from the elements = -0.4569 eV/atom
symmetry = No. 189
DOS at the Fermi energy = 3.4 states/eV/cell

No. 2
Below is a geometry-optimized AgPtCl2 structure, with properties calculated at the PBEsol level. Values from VASP.

Quantum ESPRESSO input file:
```
&SYSTEM
  ibrav = 0, nat = 4, ntyp = 3
/
ATOMIC_SPECIES
Cl 35.45 Cl.upf
Ag 107.87 Ag.upf
Pt 195.08 Pt.upf
ATOMIC_POSITIONS angstrom
Cl 0.944 1.534 5.424
Cl 0.000 0.000 0.425
Ag 0.944 1.534 2.045
Pt 0.000 0.000 3.901
CELL_PARAMETERS angstrom
3.281 0.097 0.000
-1.394 2.972 0.000
0.000 0.000 7.863
```

Calculated values
symmetry = No. 35
uncorrected formation energy = 0.05 eV per atom
DOS at the Fermi energy = 3.6 states/eV/cell

Which value of DOS at the Fermi energy does entry 2 give? 3.6 states/eV/cell

What did the first record say?
Below is a geometry-optimized LuNiPb structure, with properties calculated at the PBEsol level. Values from VASP.

Quantum ESPRESSO input file:
```
&SYSTEM
  ibrav = 0, nat = 9, ntyp = 3
/
ATOMIC_SPECIES
Pb 207.20 Pb.upf
Ni 58.69 Ni.upf
Lu 174.97 Lu.upf
ATOMIC_POSITIONS angstrom
Pb -0.041 0.511 1.888
Pb -4.680 0.094 2.663
Pb -1.659 -0.477 -0.921
Ni -0.240 1.771 -0.485
Ni -2.178 0.682 3.572
Ni -4.202 -0.554 0.059
Lu -3.967 0.700 -2.552
Lu -0.332 2.919 3.756
Lu -2.802 1.822 0.973
CELL_PARAMETERS angstrom
-0.480 3.542 -0.969
-6.227 -1.790 -3.454
-0.153 1.918 7.085
```

Calculated values
formation energy from the elements = -0.4569 eV/atom
symmetry = No. 189
DOS at the Fermi energy = 3.4 states/eV/cell

What is the DOS at the Fermi energy in the second record? 3.6 states/eV/cell